Entry 1:
# PBE-GGA CoNiAs2, optimized geometry
data_CoNiAs2
_chemical_formula_sum 'Co1 Ni1 As2'
_cell_length_a 3.019
_cell_length_b 2.969
_cell_length_c 6.084
_cell_angle_alpha 90.00
_cell_angle_beta 90.08
_cell_angle_gamma 90.00
_space_group_name_H-M_alt 'P 1 2/m 1'
_space_group_IT_number 10
loop_
_space_group_symop_operation_xyz
'x,y,z'
'-x,-y,-z'
'-x,y,-z'
'x,-y,z'
loop_
_atom_site_label
_atom_site_type_symbol
_atom_site_fract_x
_atom_site_fract_y
_atom_site_fract_z
_atom_site_occupancy
Co1 Co 0.000 0.000 0.000 1
Ni1 Ni 0.000 0.000 0.500 1
As1 As 0.500 0.500 0.246 1
# Total DFT energy (no corrections)   -5.4838 eV per atom
# ΔE_f   63 meV/atom

Entry 2:
# PBE-GGA CoNiAs, optimized geometry
data_CoNiAs
_chemical_formula_sum 'Co2 Ni2 As2'
_cell_length_a 2.932
_cell_length_b 3.493
_cell_length_c 7.210
_cell_angle_alpha 90.00
_cell_angle_beta 90.00
_cell_angle_gamma 90.00
_space_group_name_H-M_alt 'I m m 2'
_space_group_IT_number 44
loop_
_space_group_symop_operation_xyz
'x,y,z'
'-x,-y,z'
'-x,y,z'
'x,-y,z'
'x+1/2,y+1/2,z+1/2'
'-x+1/2,-y+1/2,z+1/2'
'-x+1/2,y+1/2,z+1/2'
'x+1/2,-y+1/2,z+1/2'
loop_
_atom_site_label
_atom_site_type_symbol
_atom_site_fract_x
_atom_site_fract_y
_atom_site_fract_z
_atom_site_occupancy
Co1 Co 0.000 0.000 0.000 1
Ni1 Ni 0.000 0.000 0.656 1
As1 As 0.000 0.000 0.329 1
# Total DFT energy (no corrections)   -5.8221 eV per atom
# ΔE_f   23 meV/atom

Entry 3:
# PBE-GGA CoNiAs2, optimized geometry
data_CoNiAs2
_chemical_formula_sum 'Co1 Ni1 As2'
_cell_length_a 3.525
_cell_length_b 4.523
_cell_length_c 4.320
_cell_angle_alpha 90.00
_cell_angle_beta 113.88
_cell_angle_gamma 90.00
_space_group_name_H-M_alt 'P 1 m 1'
_space_group_IT_number 6
loop_
_space_group_symop_operation_xyz
'x,y,z'
'x,-y,z'
loop_
_atom_site_label
_atom_site_type_symbol
_atom_site_fract_x
_atom_site_fract_y
_atom_site_fract_z
_atom_site_occupancy
Co1 Co 0.000 0.000 0.000 1
Ni1 Ni 0.418 0.500 0.841 1
As1 As 0.105 0.500 0.217 1
As2 As 0.314 0.000 0.626 1
# Total DFT energy (no corrections)   -5.6435 eV per atom
# ΔE_f   -97 meV/atom

Entry 4:
# PBE-GGA CoNiAs2, optimized geometry
data_CoNiAs2
_chemical_formula_sum 'Co1 Ni1 As2'
_cell_length_a 3.6104
_cell_length_b 3.6104
_cell_length_c 5.0170
_cell_angle_alpha 90.00
_cell_angle_beta 90.00
_cell_angle_gamma 120.00
_space_group_name_H-M_alt 'P -3 m 1'
_space_group_IT_number 164
_space_group_name_Hall '-P 3 2"'
loop_
_atom_site_label
_atom_site_type_symbol
_atom_site_fract_x
_atom_site_fract_y
_atom_site_fract_z
_atom_site_occupancy
Co1 Co 0.0000 0.0000 0.0000 1
Ni1 Ni 0.0000 0.0000 0.5000 1
As1 As 0.3333 0.6667 0.2401 1
# Total DFT energy (no corrections)   -5.8191 eV per atom
# ΔE_f   -273 meV/atom